(1)
# PrMgCd5Ag2 (PBE, relaxed)
# Space-group type: P4/mmm (123)
# Formation energy in eV per atom: -0.0064
# Total moment in Bohr magnetons per cell: 0.0
data_PrMgCd5Ag2
_chemical_formula_sum 'Pr1 Mg1 Cd5 Ag2'
_cell_length_a 5.188
_cell_length_b 5.188
_cell_length_c 8.164
_cell_angle_alpha 90.00
_cell_angle_beta 90.00
_cell_angle_gamma 90.00
_symmetry_space_group_name_H-M 'P 1'
_symmetry_Int_Tables_number 1
_symmetry_space_group_name_Hall 'P 1'
loop_
_atom_site_label
_atom_site_type_symbol
_atom_site_fract_x
_atom_site_fract_y
_atom_site_fract_z
Pr1 Pr 0.000 0.000 0.000
Mg1 Mg 0.000 0.000 0.500
Cd1 Cd 0.000 0.500 0.249
Cd2 Cd 0.000 0.500 0.751
Cd3 Cd 0.500 0.000 0.249
Cd4 Cd 0.500 0.000 0.751
Cd5 Cd 0.500 0.500 0.000
Ag1 Ag 0.500 0.500 0.340
Ag2 Ag 0.500 0.500 0.660

=====

(2)
# BaZn2Cl (PBE, relaxed)
# Offset from the most stable computed form in meV per atom: 391
# Space-group type: R-3m (166)
# Energy relative to the elements, uncorrected in eV/atom: -0.35
# Total moment in Bohr magnetons per cell: 0.0
data_BaZn2Cl
_chemical_formula_sum 'Ba1 Zn2 Cl1'
_cell_length_a 5.903
_cell_length_b 5.903
_cell_length_c 5.903
_cell_angle_alpha 52.12
_cell_angle_beta 52.12
_cell_angle_gamma 52.12
_symmetry_space_group_name_H-M 'P 1'
_symmetry_Int_Tables_number 1
_symmetry_space_group_name_Hall 'P 1'
loop_
_atom_site_label
_atom_site_type_symbol
_atom_site_fract_x
_atom_site_fract_y
_atom_site_fract_z
Ba1 Ba 0.000 0.000 0.000
Zn1 Zn 0.228 0.228 0.228
Zn2 Zn 0.772 0.772 0.772
Cl1 Cl 0.500 0.500 0.500